Below is a geometry-optimized AgMo2F structure, with properties calculated at the PBE with a Hubbard U level. Values from VASP.

The structure in Quantum ESPRESSO input format:
```
&SYSTEM
  ibrav = 0, nat = 4, ntyp = 3
/
ATOMIC_SPECIES
Ag 107.87 Ag.upf
Mo 95.94 Mo.upf
F 19.00 F.upf
ATOMIC_POSITIONS crystal
Ag 0.0000 0.0000 0.0000
Mo 0.2500 0.2500 0.2500
Mo 0.7500 0.7500 0.7500
F 0.5000 0.5000 0.5000
CELL_PARAMETERS angstrom
0.0000 3.1393 3.1393
3.1393 0.0000 3.1393
3.1393 3.1393 0.0000
```

Results
As for the relative energy among the computed polymorphs: 302.2 meV per atom. As for the magnetization: 0.00 μB/cell. The density of states at the Fermi level is 6.5 states/eV per cell.